Density functional theory data (PBE-GGA) for a geometry-optimized Sc5CuSe8 structure.

```
14
Lattice="-5.8704 -4.1892 3.1748 -0.8076 -7.6322 -1.7854 1.5681 -5.5013 5.4192" Properties=species:S:1:pos:R:3 pbc="T T T"
Se -4.7936 -8.5924 4.1220
Se -5.1609 -12.4455 3.3710
Sc -3.1634 -10.7242 4.2150
Sc -0.3672 -8.7288 2.7028
Sc -3.9103 -8.1038 1.6338
Se -1.6881 -13.0581 4.4188
Sc -2.7788 -7.0888 5.0654
Cu -1.2775 -4.3307 1.7021
Se -4.4288 -15.0139 5.9010
Se -1.9323 -6.5505 2.5746
Se -1.1680 -9.2320 5.2160
Se -4.0518 -11.4507 6.7346
Sc 0.0000 0.0000 0.0000
Se -2.3259 -10.2706 1.7044
```

Values from the calculation:
Its symmetry is F-43m.

---

Density functional theory data (PBE-GGA) for a geometry-optimized ScCuSe structure.

```
3
Lattice="-0.6651 -0.7465 -4.3644 3.5002 -0.3530 -2.7697 1.0560 -3.9711 -1.7784" Properties=species:S:1:pos:R:3 pbc="T T T"
Se 0.0000 0.0000 0.0000
Sc 2.9184 -3.8029 -6.6844
Cu 1.9456 -2.5353 -4.4562
```

Values from the calculation:
Its symmetry is F-43m.

---

Density functional theory data (PBE-GGA) for a geometry-optimized ScCuSe2 structure.

```
4
Lattice="-7.6024 -1.1868 2.8217 -5.5120 -2.2168 5.6454 -6.2607 1.3282 5.1193" Properties=species:S:1:pos:R:3 pbc="T T T"
Sc 0.0000 0.0000 0.0000
Se -17.2790 -1.8509 12.1166
Cu -9.6875 -1.0377 6.7932
Se -2.0960 -0.2245 1.4698
```

Values from the calculation:
Its symmetry is R-3m.

---

Density functional theory data (PBE-GGA) for a geometry-optimized ScCuSe2 structure.

```
4
Lattice="6.2958 0.0103 -0.0507 5.2932 3.4087 -0.0507 0.0289 0.0085 3.6715" Properties=species:S:1:pos:R:3 pbc="T T T"
Se 11.2873 3.3300 0.3596
Cu 5.9140 1.7448 2.2423
Sc 3.5092 1.0353 0.4287
Se 8.3052 2.4502 2.2231
```

Values from the calculation:
Its symmetry is Amm2.

---

Density functional theory data (PBE-GGA) for a geometry-optimized ScCuSe2 structure.

```
4
Lattice="-7.4180 -0.1418 0.2654 -5.5241 -0.8911 4.8792 6.4041 3.0151 -2.2391" Properties=species:S:1:pos:R:3 pbc="T T T"
Cu -6.7204 -0.5363 2.6714
Sc -1.9856 0.8685 2.2843
Se -0.3911 -0.0312 0.1555
Se -3.9119 1.1649 0.3667
```

Values from the calculation:
Its symmetry is Imm2.

---

Density functional theory data (PBE-GGA) for a geometry-optimized ScCuSe2 structure.

```
16
Lattice="3.9362 0.0000 0.0000 0.0000 6.3878 0.0000 0.0000 0.0000 13.4075" Properties=species:S:1:pos:R:3 pbc="T T T"
Se 0.9841 4.8699 7.3329
Se 0.9841 1.6998 2.8801
Se 2.9522 4.6880 10.5275
Se 0.9841 1.4941 9.5839
Se 2.9522 1.6759 12.7784
Sc 2.9522 0.1475 8.4385
Sc 0.9841 6.2404 4.9690
Sc 0.9841 3.3414 11.6728
Se 0.9841 4.7119 0.6291
Cu 2.9522 5.5918 12.7451
Cu 2.9522 3.9899 6.0413
Cu 0.9841 2.3979 7.3662
Se 2.9522 1.5180 6.0747
Cu 0.9841 0.7960 0.6625
Se 2.9522 4.8938 3.8237
Sc 2.9522 3.0465 1.7347
```

Values from the calculation:
Its symmetry is Pnma.

---

Density functional theory data (PBE-GGA) for a geometry-optimized ScCuSe2 structure.

```
4
Lattice="4.8344 -0.0154 0.0128 0.1640 4.8316 -0.0128 -1.8990 -3.0310 3.2525" Properties=species:S:1:pos:R:3 pbc="T T T"
Cu 2.7173 -0.3191 1.6326
Se 2.6361 2.5400 0.0000
Sc 0.3821 2.1044 1.6198
Se 4.8615 4.6843 0.0000
```

Values from the calculation:
Its symmetry is Immm.

---

Density functional theory data (PBE-GGA) for a geometry-optimized Sm2ScCuSe5 structure.

```
18
Lattice="-2.9737 2.6015 0.5521 -3.7435 -6.2579 -5.0898 -3.3806 -5.9425 9.7928" Properties=species:S:1:pos:R:3 pbc="T T T"
Se -4.2826 -1.8058 -0.1443
Se -4.4046 -5.1346 0.4700
Sc -6.4409 -4.7957 2.3190
Se -7.8576 -9.5851 2.8425
Se -2.4477 -0.3786 3.0139
Sc -2.0454 -1.9704 -1.7321
Sm -8.1370 -7.2150 4.5833
Sm -6.1976 -3.6773 -1.6405
Se -6.3732 -5.6596 6.7549
Sm -2.3536 -3.0743 1.8096
Se -5.2528 -6.8045 3.7703
Sm -3.4774 -5.1783 5.6707
Cu -5.4282 -5.0487 8.9658
Se -3.6932 -3.5044 -3.3793
Cu -6.0524 -6.9809 0.2948
Se -8.1372 -6.5431 1.4159
Se -4.7247 -3.1414 3.7679
Se -0.6938 -0.8292 0.1699
```

Values from the calculation:
Its symmetry is Cmc2_1.

---

Density functional theory data (PBE-GGA) for a geometry-optimized SrScCu3Se4 structure.

```
9
Lattice="6.1733 0.0000 0.0000 0.0000 6.1733 0.0000 0.0000 0.0000 6.1733" Properties=species:S:1:pos:R:3 pbc="T T T"
Se 4.7448 1.4285 4.7448
Se 4.7448 4.7448 1.4285
Cu 0.0000 3.0866 0.0000
Se 1.4285 4.7448 4.7448
Sr 3.0866 3.0866 3.0866
Cu 3.0866 0.0000 0.0000
Sc 0.0000 0.0000 0.0000
Cu 0.0000 0.0000 3.0866
Se 1.4285 1.4285 1.4285
```

Values from the calculation:
Its symmetry is P-43m.

---

Density functional theory data (PBE-GGA) for a geometry-optimized SrScCu2Se4 structure.

```
8
Lattice="6.6710 0.0000 0.0000 3.3355 5.3954 0.1397 3.3355 0.5814 5.3658" Properties=species:S:1:pos:R:3 pbc="T T T"
Sc 6.6710 2.9884 2.7528
Se 8.1419 3.0940 4.8796
Se 5.2001 0.8601 2.8218
Cu 3.3355 1.9100 1.7594
Cu 10.0065 4.0668 3.7461
Se 8.1419 2.8828 0.6260
Se 5.2001 5.1167 2.6837
Sr 0.0000 0.0000 0.0000
```

Values from the calculation:
Its symmetry is I222.

---

Density functional theory data (PBE-GGA) for a geometry-optimized SrSc2CuSe4 structure.

```
16
Lattice="-2.0954 -1.9466 2.7940 3.2045 -4.8014 -3.8028 10.8372 0.5127 8.4848" Properties=species:S:1:pos:R:3 pbc="T T T"
Sc 4.2545 -2.1933 4.5236
Sc 0.1483 -2.3875 1.3087
Sc 11.7980 -3.8478 6.1674
Se 9.5931 -3.2072 7.8210
Cu 3.3629 -1.6218 1.3921
Se 0.0000 0.0000 0.0000
Se 2.3532 -3.0281 -0.3449
Se 5.4186 0.2564 4.2424
Se 1.8813 -1.4335 3.2731
Se 5.3698 -2.8854 2.0169
Sr 8.6694 -1.0652 5.7596
Sc 7.6918 -4.0420 2.9525
Cu 8.5834 -4.6135 6.0839
Se 10.0650 -4.8018 4.2029
Se 6.5765 -3.3499 5.4591
Sr 3.2769 -5.1701 1.7164
```

Values from the calculation:
Its symmetry is Cmcm.

---

Density functional theory data (PBE-GGA) for a geometry-optimized SrScCuSe2 structure.

```
5
Lattice="5.0994 0.0000 0.0000 0.0000 4.9289 0.0000 0.0000 0.0000 5.0994" Properties=species:S:1:pos:R:3 pbc="T T T"
Sc 2.5497 2.4645 2.5497
Sr 0.0000 2.4645 0.0000
Se 0.0000 0.0000 2.5497
Se 2.5497 0.0000 0.0000
Cu 0.0000 0.0000 0.0000
```

Values from the calculation:
Its symmetry is P4/mmm.

---

Density functional theory data (PBE-GGA) for a geometry-optimized Sc2TaCuSe structure.

```
5
Lattice="-4.6302 2.3400 -0.5228 -1.8987 -3.1362 2.7787 1.0570 3.0126 4.1225" Properties=species:S:1:pos:R:3 pbc="T T T"
Ta 0.0000 0.0000 0.0000
Sc 0.5285 1.5063 2.0612
Se -2.7360 1.1082 3.1892
Sc -2.3151 1.1700 -0.2614
Cu -0.9494 -1.5681 1.3894
```

Values from the calculation:
Its symmetry is P4/mmm.

---

Density functional theory data (PBE-GGA) for a geometry-optimized ScTaCu2Se structure.

```
5
Lattice="4.7156 0.0000 0.0000 0.0000 5.3445 0.0000 0.0000 0.0000 4.7156" Properties=species:S:1:pos:R:3 pbc="T T T"
Se 2.3578 2.6722 2.3578
Sc 0.0000 2.6722 0.0000
Cu 2.3578 0.0000 0.0000
Cu 0.0000 0.0000 2.3578
Ta 0.0000 0.0000 0.0000
```

Values from the calculation:
Its symmetry is P4/mmm.

---

Density functional theory data (PBE-GGA) for a geometry-optimized Sc2Tl3CuSe6 structure.

```
12
Lattice="6.8592 0.0526 -0.0194 -3.3824 5.9674 -0.0194 -1.1813 -2.0454 7.3973" Properties=species:S:1:pos:R:3 pbc="T T T"
Se 3.3793 2.0879 5.9843
Se -1.0838 1.8868 1.3741
Se 2.1759 0.0041 1.3741
Cu 0.0000 0.0000 0.0000
Se 0.0034 0.0059 5.8062
Se 2.2921 3.9687 1.5522
Sc 3.4163 2.0409 -0.0194
Tl -2.1380 3.8850 3.6792
Sc 0.0604 3.9791 -0.0194
Tl 1.1477 1.9873 3.6792
Tl 4.4335 0.0896 3.6792
Se 0.1196 3.9705 5.9843
```

Values from the calculation:
Its symmetry is C2/m.

---

Density functional theory data (PBE-GGA) for a geometry-optimized ScTlCuSe3 structure.

```
12
Lattice="3.8718 0.0000 0.0000 0.0000 8.9135 -0.0185 0.0000 -3.4544 8.8649" Properties=species:S:1:pos:R:3 pbc="T T T"
Tl 0.9680 1.0651 2.0437
Sc 0.9680 5.5066 1.3049
Se 2.9039 0.0539 4.7578
Se 0.9680 1.8624 7.4694
Se 2.9039 3.5967 1.3769
Se 2.9039 7.4022 1.1999
Cu 0.9680 -1.3353 5.2789
Se 0.9680 5.4052 4.0885
Sc 2.9039 -0.0475 7.5415
Se 0.9680 -1.9431 7.6465
Tl 2.9039 4.3940 6.8027
Cu 2.9039 6.7944 3.5675
```

Values from the calculation:
Its symmetry is P2_1/m.

---

Density functional theory data (PBE-GGA) for a geometry-optimized Zr2ScCuSe structure.

```
5
Lattice="-3.2561 -1.5396 3.5830 3.5843 -2.4075 2.2227 1.0716 4.1348 2.7505" Properties=species:S:1:pos:R:3 pbc="T T T"
Sc 0.0000 0.0000 0.0000
Zr -1.6280 -0.7698 1.7915
Zr 0.5358 2.0674 1.3753
Cu 0.6999 0.0939 4.2781
Se 1.7921 -1.2037 1.1114
```

Values from the calculation:
Its symmetry is P4/mmm.

---

Density functional theory data (PBE-GGA) for a geometry-optimized ZrScCuSe4 structure.

```
14
Lattice="7.7498 0.0000 0.0000 3.8749 6.7365 0.0961 3.8749 2.1438 6.3870" Properties=species:S:1:pos:R:3 pbc="T T T"
Se 11.6247 6.6678 4.8247
Zr 1.9374 1.0719 3.1935
Cu 7.7498 4.5148 0.8851
Zr 5.8123 1.0719 3.1935
Se 3.8749 2.2125 1.6584
Cu 7.7498 4.3655 5.5980
Sc 0.0000 0.0000 0.0000
Se 9.7393 5.6271 1.6971
Se 5.7602 3.2532 4.7860
Se 9.7393 3.2532 4.7860
Se 5.7602 5.6271 1.6971
Se 7.7498 6.6938 4.8436
Se 7.7498 2.1865 1.6395
Sc 3.8749 4.4401 3.2416
```

Values from the calculation:
Its symmetry is Imma.

---

Density functional theory data (PBE-GGA) for a geometry-optimized ScCu2Si2 structure.

```
10
Lattice="7.2535 0.0000 0.0000 0.0000 7.2535 0.0000 0.0000 0.0000 2.7566" Properties=species:S:1:pos:R:3 pbc="T T T"
Si 6.1723 4.7080 0.0000
Si 1.0812 2.5455 0.0000
Sc 3.6267 3.6267 0.0000
Sc 0.0000 0.0000 0.0000
Si 2.5455 6.1723 0.0000
Cu 6.2088 2.5820 1.3783
Si 4.7080 1.0812 0.0000
Cu 2.5820 1.0447 1.3783
Cu 4.6715 6.2088 1.3783
Cu 1.0447 4.6715 1.3783
```

Values from the calculation:
Its symmetry is P4/mbm.

---

Density functional theory data (PBE-GGA) for a geometry-optimized ScCuSi2 structure.

```
4
Lattice="-2.7563 0.5774 -1.7173 1.5617 -2.3419 -1.7193 -2.9113 -4.3083 3.2241" Properties=species:S:1:pos:R:3 pbc="T T T"
Cu -1.3251 -1.9593 -0.9123
Si -0.1275 -0.1886 0.1411
Sc -2.7808 -4.1135 0.6997
Si -1.3282 -1.9655 1.4709
```

Values from the calculation:
Its symmetry is Cmmm.

---

Short version: size of the total moment = 0.00, 0.00, 0.00, 0.00, 0.00, 0.00, 0.00, 0.00, 0.00, 0.00, 0.00, 0.32, 0.00, 0.00, 0.00, 0.00, 0.00, 0.00, 0.09, 0.00 μB/atom, in the order given.
Short version: ΔE_f (raw) = -1.4941, -0.5268, -0.1998, -1.0113, -0.9241, -1.1059, -0.6993, -1.5463, -0.8549, -0.9649, -1.4670, -0.0970, 0.7724, 1.1077, -0.8291, -0.8736, 0.8829, -1.2158, -0.1300, -0.2091 eV/atom, in the order given.